A relaxed structure of BaY2P, computed with PBE.

Total energy: -22.28 eV per formula unit
Formation energy from the elements: -0.51 eV per atom
Symmetry: Cmmm

abc: 6.642 6.642 3.820
angles: 90.00 90.00 120.93
Fractional positions:
Ba 0.000 0.000 0.000
Y 0.333 0.667 0.500
Y 0.667 0.333 0.500
P 0.500 0.500 0.000